The following is a PBEsol calculation of a relaxed structure of In3P, from Alexandria via LeMat-Bulk.

The structure in POSCAR format:
```
In3P
1.0
3.5941 0.0000 0.0000
0.0000 3.6292 0.0000
0.0000 0.0000 7.3846
In P
3 1
Direct
0.5000 0.5000 0.7720 In
0.0000 0.0000 0.0280 In
0.5000 0.0000 0.3662 In
0.0000 0.5000 0.5005 P
```

Summary:
Energy of formation from the pure elements   69.9 meV per atom
Crystal system   orthorhombic


The following is a PBEsol calculation of a relaxed structure of InP3, from Alexandria via LeMat-Bulk.

The structure in POSCAR format:
```
InP3
1.0
4.5464 0.0000 0.0000
2.2732 3.9373 0.0000
2.2732 1.3124 3.7121
P In
3 1
Direct
0.7500 0.7500 0.7500 P
0.2500 0.2500 0.2500 P
0.5000 0.5000 0.5000 P
0.0000 0.0000 0.0000 In
```

Summary:
Energy of formation from the pure elements   548.4 meV per atom
Crystal system   cubic


The following is a PBEsol calculation of a relaxed structure of InP3, from Alexandria via LeMat-Bulk.

The structure in POSCAR format:
```
InP3
1.0
2.9928 0.0479 0.0000
-1.3556 2.6686 0.0000
0.0000 0.0000 8.6119
P In
3 1
Direct
0.0000 0.0000 0.5000 P
0.5000 0.5000 0.6974 P
0.5000 0.5000 0.3026 P
0.0000 0.0000 0.0000 In
```

Summary:
Energy of formation from the pure elements   456.9 meV per atom
Crystal system   orthorhombic


The following is a PBEsol calculation of a relaxed structure of InP3, from Alexandria via LeMat-Bulk.

The structure in POSCAR format:
```
InP3
1.0
-2.4152 -1.4244 -1.5726
-1.2874 -2.0699 3.8520
-2.7193 3.5236 0.9846
P In
3 1
Direct
0.0000 0.5000 0.5000 P
0.5000 0.0000 0.5000 P
0.5000 0.5000 0.0000 P
0.0000 0.0000 0.0000 In
```

Summary:
Energy of formation from the pure elements   550.5 meV per atom
Crystal system   tetragonal


The following is a PBEsol calculation of a relaxed structure of InP3, from Alexandria via LeMat-Bulk.

The structure in POSCAR format:
```
InP3
1.0
-1.1473 0.6498 2.9811
2.0718 -2.5001 1.3423
4.5840 4.2486 0.8382
P In
3 1
Direct
0.5000 0.5000 0.6737 P
0.0000 0.0000 0.5000 P
0.5000 0.5000 0.3263 P
0.0000 0.0000 0.0000 In
```

Summary:
Energy of formation from the pure elements   392.7 meV per atom
Crystal system   orthorhombic


The following is a PBEsol calculation of a relaxed structure of In3P, from Alexandria via LeMat-Bulk.

The structure in POSCAR format:
```
In3P
1.0
-2.0886 -2.5518 1.1241
2.1373 -0.5630 2.6931
-3.8182 4.9124 4.0571
P In
1 3
Direct
0.5000 0.5000 0.0000 P
0.0000 0.0000 0.2074 In
0.0000 0.0000 0.7926 In
0.5000 0.5000 0.5000 In
```

Summary:
Energy of formation from the pure elements   98.4 meV per atom
Crystal system   tetragonal


The following is a PBEsol calculation of a relaxed structure of In3P, from Alexandria via LeMat-Bulk.

The structure in POSCAR format:
```
In3P
1.0
-3.5425 0.4603 1.4286
0.4893 -0.6289 -3.7646
0.3966 -7.0089 3.2417
P In
1 3
Direct
0.0000 0.0000 0.0000 P
0.2628 0.5257 0.7925 In
0.5000 0.0000 0.5000 In
0.7372 0.4743 0.2075 In
```

Summary:
Energy of formation from the pure elements   -23.9 meV per atom
Crystal system   monoclinic


The following is a PBEsol calculation of a relaxed structure of In3P, from Alexandria via LeMat-Bulk.

The structure in POSCAR format:
```
In3P
1.0
3.8156 0.0000 0.0000
-1.9078 3.3044 0.0000
0.0000 0.0000 7.6932
In P
3 1
Direct
0.0000 0.0000 0.7080 In
0.0000 0.0000 0.2920 In
0.3333 0.6667 0.0000 In
0.3333 0.6667 0.5000 P
```

Summary:
Energy of formation from the pure elements   24.2 meV per atom
Crystal system   hexagonal


The following is a PBEsol calculation of a relaxed structure of InP2, from Alexandria via LeMat-Bulk.

The structure in POSCAR format:
```
InP2
1.0
-1.6124 2.2123 -1.7776
-2.3069 0.3675 2.5498
4.6549 7.7620 5.4377
P In
4 2
Direct
0.2500 0.4652 0.0695 P
0.2500 0.7410 0.5180 P
0.7500 0.5348 0.9305 P
0.7500 0.2590 0.4820 P
0.2500 0.1253 0.7495 In
0.7500 0.8747 0.2505 In
```

Summary:
Energy of formation from the pure elements   169.0 meV per atom
Crystal system   orthorhombic


The following is a PBEsol calculation of a relaxed structure of In2PPb, from Alexandria via LeMat-Bulk.

The structure in POSCAR format:
```
In2PPb
1.0
4.3053 0.0000 0.0000
0.0000 4.3053 0.0000
-2.1527 -2.1527 5.2065
In Pb P
2 1 1
Direct
0.7500 0.2500 0.5000 In
0.2500 0.7500 0.5000 In
0.0000 0.0000 0.0000 Pb
0.5000 0.5000 0.0000 P
```

Summary:
Relative energy among the computed polymorphs   0.617 eV per formula unit
Energy of formation from the pure elements   195.4 meV per atom
Crystal system   tetragonal


The following is a PBEsol calculation of a relaxed structure of InP2Pb, from Alexandria via LeMat-Bulk.

The structure in POSCAR format:
```
InP2Pb
1.0
-3.1369 -2.9696 2.2875
4.8209 -0.6241 0.5786
2.1035 1.0745 4.2793
P Pb In
2 1 1
Direct
0.7500 0.5000 0.7500 P
0.2500 0.5000 0.2500 P
0.5000 0.0000 0.5000 Pb
0.0000 0.0000 0.0000 In
```

Summary:
Relative energy among the computed polymorphs   1.159 eV per formula unit
Energy of formation from the pure elements   356.0 meV per atom
Crystal system   tetragonal


The following is a PBEsol calculation of a relaxed structure of InP2Pb, from Alexandria via LeMat-Bulk.

The structure in POSCAR format:
```
InP2Pb
1.0
-1.4399 -2.8674 0.6063
0.7723 0.5692 -4.2676
6.2821 -2.4989 3.1019
Pb P In
1 2 1
Direct
0.5215 0.0429 0.5297 Pb
0.9278 0.8556 0.9878 P
0.3306 0.6611 0.7778 P
0.7202 0.4403 0.2047 In
```

Summary:
Relative energy among the computed polymorphs   0.025 eV per formula unit
Energy of formation from the pure elements   72.6 meV per atom
Crystal system   monoclinic


The following is a PBEsol calculation of a relaxed structure of InPPb2, from Alexandria via LeMat-Bulk.

The structure in POSCAR format:
```
InPPb2
1.0
-1.9084 -2.6664 1.8651
3.4672 -3.2936 -1.1609
2.0224 4.2208 4.2885
In Pb P
1 2 1
Direct
0.0000 0.5000 0.0000 In
0.1961 0.1969 0.3922 Pb
0.8039 0.8031 0.6078 Pb
0.5000 0.0000 0.0000 P
```

Summary:
Relative energy among the computed polymorphs   0.422 eV per formula unit
Energy of formation from the pure elements   154.4 meV per atom
Crystal system   monoclinic


The following is a PBEsol calculation of a relaxed structure of In2PPb, from Alexandria via LeMat-Bulk.

The structure in POSCAR format:
```
In2PPb
1.0
-1.8308 2.2645 -2.4607
-4.6298 -1.0922 2.4396
2.5129 4.2569 2.0478
In Pb P
2 1 1
Direct
0.0000 0.2074 0.2923 In
0.0000 0.7926 0.7077 In
0.5000 0.5000 0.0000 Pb
0.5000 0.0000 0.5000 P
```

Summary:
Relative energy among the computed polymorphs   0.000 eV per formula unit
Energy of formation from the pure elements   41.2 meV per atom
Crystal system   orthorhombic


The following is a PBEsol calculation of a relaxed structure of InPPb, from Alexandria via LeMat-Bulk.

The structure in POSCAR format:
```
InPPb
1.0
3.9783 0.0000 0.0000
-1.9892 3.4453 0.0000
0.0000 0.0000 5.4409
P In Pb
1 1 1
Direct
0.6667 0.3333 0.6889 P
0.0000 0.0000 0.9403 In
0.3333 0.6667 0.3707 Pb
```

Summary:
Energy of formation from the pure elements   13.7 meV per atom
Crystal system   trigonal


The following is a PBEsol calculation of a relaxed structure of InPPb2, from Alexandria via LeMat-Bulk.

The structure in POSCAR format:
```
InPPb2
1.0
3.6606 0.0000 0.0000
0.0000 3.6592 -0.0372
0.0000 -1.7329 7.6754
Pb In P
2 1 1
Direct
0.5000 0.8285 0.2786 Pb
0.0000 0.1732 0.9714 Pb
0.0000 0.4691 0.5645 In
0.5000 0.0292 0.6855 P
```

Summary:
Relative energy among the computed polymorphs   0.177 eV per formula unit
Energy of formation from the pure elements   93.3 meV per atom
Crystal system   monoclinic


The following is a PBEsol calculation of a relaxed structure of In2PPb, from Alexandria via LeMat-Bulk.

The structure in POSCAR format:
```
In2PPb
1.0
-1.0834 -0.1765 4.0200
3.7450 -1.8852 0.6852
0.9799 5.9257 -1.5149
In Pb P
2 1 1
Direct
0.0000 0.0000 0.5000 In
0.5000 0.5000 0.5000 In
0.0000 0.5000 0.0000 Pb
0.5000 0.0000 0.0000 P
```

Summary:
Relative energy among the computed polymorphs   0.504 eV per formula unit
Energy of formation from the pure elements   167.2 meV per atom
Crystal system   monoclinic


The following is a PBEsol calculation of a relaxed structure of InPPb2, from Alexandria via LeMat-Bulk.

The structure in POSCAR format:
```
InPPb2
1.0
3.8629 0.0000 0.0000
1.9314 3.3453 0.0000
1.9314 1.1151 8.1140
In P Pb
1 1 2
Direct
0.5178 0.5178 0.4466 In
0.2428 0.2428 0.2716 P
0.7562 0.7562 0.7314 Pb
0.9832 0.9832 0.0504 Pb
```

Summary:
Relative energy among the computed polymorphs   0.000 eV per formula unit
Energy of formation from the pure elements   48.9 meV per atom
Crystal system   trigonal


The following is a PBEsol calculation of a relaxed structure of In2PPb, from Alexandria via LeMat-Bulk.

The structure in POSCAR format:
```
In2PPb
1.0
3.7025 0.0000 0.0000
0.0000 5.0174 0.0000
-1.8513 -2.5087 5.2163
Pb In P
1 2 1
Direct
0.7948 0.2948 0.5895 Pb
0.2016 0.7016 0.4031 In
0.9983 0.9983 0.9966 In
0.5054 0.5054 0.0108 P
```

Summary:
Relative energy among the computed polymorphs   0.337 eV per formula unit
Energy of formation from the pure elements   125.4 meV per atom
Crystal system   orthorhombic


The following is a PBEsol calculation of a relaxed structure of InPPb2, from Alexandria via LeMat-Bulk.

The structure in POSCAR format:
```
InPPb2
1.0
-3.8650 3.1641 1.4364
-0.9280 0.8454 5.0435
1.0769 4.6307 2.0999
P Pb In
1 2 1
Direct
0.2500 0.2500 0.2500 P
0.7500 0.7500 0.7500 Pb
0.0000 0.0000 0.0000 Pb
0.5000 0.5000 0.5000 In
```

Summary:
Relative energy among the computed polymorphs   0.947 eV per formula unit
Energy of formation from the pure elements   285.8 meV per atom
Crystal system   cubic


The following is a PBEsol calculation of a relaxed structure of InPPb2, from Alexandria via LeMat-Bulk.

The structure in POSCAR format:
```
InPPb2
1.0
4.1758 0.0000 0.0000
0.0000 4.8956 0.0446
0.0000 -0.0559 4.8954
Pb In P
2 1 1
Direct
0.0000 0.0000 0.5000 Pb
0.0000 0.5000 0.0000 Pb
0.5000 0.0000 0.0000 In
0.5000 0.5000 0.5000 P
```

Summary:
Relative energy among the computed polymorphs   0.647 eV per formula unit
Energy of formation from the pure elements   210.7 meV per atom
Crystal system   orthorhombic


The following is a PBEsol calculation of a relaxed structure of InP2Pb, from Alexandria via LeMat-Bulk.

The structure in POSCAR format:
```
InP2Pb
1.0
-0.7802 -2.8592 -1.5879
1.6580 -2.8333 0.7272
-5.6718 -3.7701 6.0155
P In Pb
2 1 1
Direct
0.0164 0.0164 0.9506 P
0.7294 0.7294 0.8117 P
0.2625 0.2625 0.2125 In
0.4916 0.4916 0.5251 Pb
```

Summary:
Relative energy among the computed polymorphs   0.000 eV per formula unit
Energy of formation from the pure elements   66.3 meV per atom
Crystal system   trigonal


The following is a PBEsol calculation of a relaxed structure of In3PPb, from Alexandria via LeMat-Bulk.

The structure in POSCAR format:
```
In3PPb
1.0
-0.2334 5.0706 0.9320
-4.7797 -0.5625 1.8633
1.9323 -0.7789 4.7216
In P Pb
3 1 1
Direct
0.5000 0.0000 0.0000 In
0.0000 0.0000 0.5000 In
0.0000 0.5000 0.0000 In
0.0000 0.0000 0.0000 P
0.5000 0.5000 0.5000 Pb
```

Summary:
Energy of formation from the pure elements   281.9 meV per atom
Crystal system   cubic


The following is a PBEsol calculation of a relaxed structure of Y2InPPb, from Alexandria via LeMat-Bulk.

The structure in POSCAR format:
```
Y2InPPb
1.0
-4.5844 1.8822 1.3511
-2.3235 -2.3435 -4.6194
-1.0763 -4.7339 2.9429
Pb Y P In
1 2 1 1
Direct
0.0000 0.0000 0.0000 Pb
0.0000 0.0000 0.5000 Y
0.0000 0.5000 0.0000 Y
0.5000 0.0000 0.0000 P
0.5000 0.5000 0.5000 In
```

Summary:
Energy of formation from the pure elements   521.7 meV per atom
Crystal system   tetragonal


The following is a PBEsol calculation of a relaxed structure of InP3Pd, from Alexandria via LeMat-Bulk.

The structure in POSCAR format:
```
InP3Pd
1.0
4.8715 0.0000 0.0000
0.0000 4.8715 0.0000
0.0000 0.0000 4.8715
P Pd In
3 1 1
Direct
0.0000 0.5000 0.0000 P
0.0000 0.0000 0.5000 P
0.5000 0.0000 0.0000 P
0.5000 0.5000 0.5000 Pd
0.0000 0.0000 0.0000 In
```

Summary:
Energy of formation from the pure elements   1505.8 meV per atom
Crystal system   cubic


The following is a PBEsol calculation of a relaxed structure of InP2PdRu, from Alexandria via LeMat-Bulk.

The structure in POSCAR format:
```
InP2PdRu
1.0
4.7837 0.0000 0.0000
0.0000 4.7837 0.0000
0.0000 0.0000 4.8707
Ru P In Pd
1 2 1 1
Direct
0.0000 0.0000 0.5000 Ru
0.0000 0.5000 0.0000 P
0.5000 0.0000 0.0000 P
0.0000 0.0000 0.0000 In
0.5000 0.5000 0.5000 Pd
```

Summary:
Energy of formation from the pure elements   1837.6 meV per atom
Crystal system   tetragonal


The following is a PBEsol calculation of a relaxed structure of InPPdS2, from Alexandria via LeMat-Bulk.

The structure in POSCAR format:
```
InPPdS2
1.0
4.8584 0.0000 0.0000
0.0000 4.8584 0.0000
0.0000 0.0000 4.9436
In S P Pd
1 2 1 1
Direct
0.0000 0.0000 0.0000 In
0.5000 0.0000 0.0000 S
0.0000 0.5000 0.0000 S
0.0000 0.0000 0.5000 P
0.5000 0.5000 0.5000 Pd
```

Summary:
Raw formation energy   1.099 eV/atom
Crystal system   tetragonal


The following is a PBEsol calculation of a relaxed structure of InPPt5, from Alexandria via LeMat-Bulk.

The structure in POSCAR format:
```
InPPt5
1.0
-0.9720 1.1625 -3.6402
3.1609 -1.8661 -1.4399
-3.7945 -5.7839 -0.8339
Pt In P
5 1 1
Direct
0.0000 0.5000 0.7026 Pt
0.0000 0.0000 0.0000 Pt
0.5000 0.0000 0.7026 Pt
0.0000 0.5000 0.2974 Pt
0.5000 0.0000 0.2974 Pt
0.5000 0.5000 0.0000 In
0.0000 0.0000 0.5000 P
```

Summary:
Energy of formation from the pure elements   -463.1 meV per atom
Crystal system   tetragonal


The following is a PBEsol calculation of a relaxed structure of In2PPt, from Alexandria via LeMat-Bulk.

The structure in POSCAR format:
```
In2PPt
1.0
-0.2190 -3.7894 1.2316
1.6312 -1.0633 3.4833
-4.8336 -0.3811 4.4331
P In Pt
1 2 1
Direct
0.5322 0.5322 0.4034 P
0.7649 0.7649 0.7053 In
0.9808 0.9808 0.0575 In
0.2220 0.2220 0.3339 Pt
```

Summary:
Energy of formation from the pure elements   -209.6 meV per atom
Crystal system   trigonal


The following is a PBEsol calculation of a relaxed structure of In2PPt, from Alexandria via LeMat-Bulk.

The structure in POSCAR format:
```
In2PPt
1.0
-3.1320 -0.5443 0.2072
2.3868 -4.5676 -0.4104
-0.0732 2.4517 5.3325
P In Pt
1 2 1
Direct
0.5914 0.1827 0.4912 P
0.7833 0.5666 0.2788 In
0.9380 0.8759 0.9043 In
0.1874 0.3748 0.8256 Pt
```

Summary:
Energy of formation from the pure elements   -151.9 meV per atom
Crystal system   monoclinic


no.,size of the total moment (Bohr magnetons per cell),mass density (kg/m³)
1,0.0,6472
2,0.0,5191
3,0.0,4975
4,0.0,5164
5,0.0,4776
6,0.0,6915
7,0.0,6581
8,0.0,6427
9,0.0,4993
10,0.0,8049
11,0.0,7697
12,0.0,6840
13,0.0,9011
14,0.0,7752
15,0.0,7860
16,0.0,9069
17,0.0,8023
18,0.0,8872
19,0.0,8016
20,0.0,9370
21,0.0,9294
22,0.0,7336
23,0.0,7038
24,0.0,5324
25,0.0,4512
26,1.7,5725
27,0.0,4502
28,0.0,17187
29,0.0,8918
30,0.0,9320